A relaxed structure of KTiAl. Source: Alexandria via LeMat-Bulk, functional PBE.

## Properties
polymorph energy (0 for the lowest one)	1382	meV per atom
energy of formation	1.45	eV/atom
DFT total energy	-8.37	eV/f.u.
symmetry	P6_3/mmc

a = 5.666 Å, b = 5.666 Å, c = 10.675 Å
α = 90.00°, β = 90.00°, γ = 120.00°
Each line ends with the local moment (μB).
Fractional coordinates of all 6 atoms:
K 0.333 0.667 0.250  0.01
Al 0.000 0.000 0.750  0.04
Ti 0.000 0.000 0.000  1.74
Al 0.000 0.000 0.250  0.04
K 0.667 0.333 0.750  0.01
Ti 0.000 0.000 0.500  1.79

---

A relaxed structure of Np3MoN6. Source: Alexandria via LeMat-Bulk, functional PBE.

## Properties
E_form (uncorrected)	-0.96	eV per atom
DFT total energy	-109.17	eV/f.u.
symmetry	Cmc2_1

a = 5.468 Å, b = 7.211 Å, c = 7.211 Å
α = 103.10°, β = 90.00°, γ = 90.00°
Each line ends with the local moment (μB).
Fractional coordinates of all 20 atoms:
Np 0.469 0.909 0.700  3.02
N 0.159 0.045 0.955  -0.08
Np 0.937 0.603 0.397  2.88
N 0.687 0.577 0.108  -0.09
N 0.208 0.356 0.329  -0.18
N 0.155 0.788 0.212  -0.11
Mo 0.509 0.804 0.196  0.40
N 0.187 0.423 0.892  -0.09
N 0.708 0.329 0.356  -0.18
N 0.655 0.212 0.788  -0.11
Mo 0.009 0.196 0.804  0.40
Np 0.437 0.397 0.603  2.88
Np 0.969 0.091 0.300  3.02
N 0.659 0.955 0.045  -0.08
N 0.187 0.108 0.577  -0.09
Np 0.969 0.700 0.909  3.02
N 0.687 0.892 0.423  -0.09
N 0.208 0.671 0.644  -0.18
Np 0.469 0.300 0.091  3.02
N 0.708 0.644 0.671  -0.18

---

A relaxed structure of NaGe2Te2. Source: Alexandria via LeMat-Bulk, functional PBE.

## Properties
E_form (uncorrected)	-0.07	eV per atom
polymorph energy (0 for the lowest one)	118	meV per atom
DFT total energy	-17.16	eV/f.u.
symmetry	P4/mbm

a = 8.249 Å, b = 8.249 Å, c = 4.028 Å
α = 90.00°, β = 90.00°, γ = 90.00°
Fractional coordinates of all 10 atoms:
Te 0.327 0.827 0.000
Te 0.827 0.673 0.000
Ge 0.619 0.881 0.500
Ge 0.119 0.619 0.500
Na 0.500 0.500 0.000
Ge 0.381 0.119 0.500
Na 0.000 0.000 0.000
Ge 0.881 0.381 0.500
Te 0.173 0.327 0.000
Te 0.673 0.173 0.000

---

A relaxed structure of TaCd2IF. Source: Alexandria via LeMat-Bulk, functional PBE.

## Properties
E_form (uncorrected)	1.13	eV per atom
DFT total energy	-11.45	eV/f.u.
symmetry	P4/mmm

a = 6.297 Å, b = 5.333 Å, c = 6.297 Å
α = 90.00°, β = 90.00°, γ = 90.00°
Each line ends with the local moment (μB).
Fractional coordinates of all 5 atoms:
Ta 0.000 0.500 0.000  2.25
F 0.500 0.500 0.500  0.03
I 0.000 0.000 0.000  -0.07
Cd 0.000 0.000 0.500  -0.03
Cd 0.500 0.000 0.000  -0.04

---

A relaxed structure of K2In3AgBi4. Source: Alexandria via LeMat-Bulk, functional PBE.

## Properties
energy of formation	-0.13	eV/atom
DFT total energy	-30.06	eV/f.u.
symmetry	P-4m2

a = 5.096 Å, b = 5.096 Å, c = 13.476 Å
α = 90.00°, β = 90.00°, γ = 90.00°
Fractional coordinates of all 10 atoms:
Bi 0.500 0.500 0.000
Bi 0.000 0.000 0.000
K 0.500 0.000 0.270
Bi 0.500 0.000 0.626
Bi 0.000 0.500 0.374
In 0.000 0.000 0.500
K 0.000 0.500 0.730
In 0.000 0.500 0.143
In 0.500 0.000 0.857
Ag 0.500 0.500 0.500

---

A relaxed structure of CdIr4. Source: Alexandria via LeMat-Bulk, functional PBE.

## Properties
polymorph energy (0 for the lowest one)	0	meV per atom
energy of formation	0.19	eV/atom
DFT total energy	-35.42	eV/f.u.
symmetry	I4/m

a = 4.850 Å, b = 4.850 Å, c = 4.850 Å
α = 99.45°, β = 99.45°, γ = 132.19°
Fractional coordinates of all 5 atoms:
Ir 0.812 0.400 0.212
Ir 0.600 0.812 0.412
Ir 0.400 0.188 0.588
Ir 0.188 0.600 0.788
Cd 0.000 0.000 0.000

---

A relaxed structure of Ca2MnCr2. Source: Alexandria via LeMat-Bulk, functional PBE.

## Properties
polymorph energy (0 for the lowest one)	575	meV per atom
energy of formation	1.35	eV/atom
DFT total energy	-25.66	eV/f.u.
symmetry	P4/mbm

a = 8.408 Å, b = 8.408 Å, c = 2.957 Å
α = 90.00°, β = 90.00°, γ = 90.00°
Each line ends with the local moment (μB).
Fractional coordinates of all 10 atoms:
Ca 0.291 0.791 0.000  0.01
Mn 0.500 0.500 0.000  0.10
Cr 0.923 0.423 0.500  0.53
Ca 0.209 0.291 0.000  0.01
Ca 0.709 0.209 0.000  0.01
Cr 0.077 0.577 0.500  0.53
Mn 0.000 0.000 0.000  0.10
Ca 0.791 0.709 0.000  0.01
Cr 0.423 0.077 0.500  0.57
Cr 0.577 0.923 0.500  0.57

---

A relaxed structure of Nd2Sm5Er2. Source: Alexandria via LeMat-Bulk, functional PBE.

## Properties
polymorph energy (0 for the lowest one)	0	meV per atom
energy of formation	0.09	eV/atom
DFT total energy	-41.42	eV/f.u.
symmetry	C2/m

a = 3.538 Å, b = 14.638 Å, c = 16.300 Å
α = 22.28°, β = 89.98°, γ = 96.92°
Fractional coordinates of all 9 atoms:
Er 0.157 0.313 0.923
Sm 0.169 0.338 0.217
Sm 0.198 0.397 0.489
Nd 0.512 0.024 0.642
Sm 0.831 0.662 0.783
Sm 0.802 0.603 0.511
Er 0.843 0.687 0.077
Sm 0.000 0.000 0.000
Nd 0.488 0.976 0.358

---

A relaxed structure of ErMnAl2. Source: Alexandria via LeMat-Bulk, functional PBE.

## Properties
energy of formation	-0.22	eV/atom
DFT total energy	-22.11	eV/f.u.
symmetry	P4/mmm

a = 3.198 Å, b = 3.198 Å, c = 7.020 Å
α = 90.00°, β = 90.00°, γ = 90.00°
Each line ends with the local moment (μB).
Fractional coordinates of all 4 atoms:
Mn 0.500 0.500 0.000  2.91
Al 0.000 0.000 0.196  -0.02
Al 0.000 0.000 0.804  -0.02
Er 0.500 0.500 0.500  0.13

---

A relaxed structure of ScCd2Ni9. Source: Alexandria via LeMat-Bulk, functional PBE.

## Properties
energy of formation	-0.14	eV/atom
DFT total energy	-61.84	eV/f.u.
symmetry	R-3m

a = 4.828 Å, b = 4.828 Å, c = 8.411 Å
α = 73.32°, β = 73.32°, γ = 60.00°
Each line ends with the local moment (μB).
Fractional coordinates of all 12 atoms:
Ni 0.583 0.081 0.753  0.44
Ni 0.583 0.583 0.753  0.44
Ni 0.334 0.334 0.999  0.42
Cd 0.142 0.142 0.574  -0.01
Cd 0.858 0.858 0.426  -0.01
Ni 0.417 0.919 0.247  0.44
Ni 0.666 0.666 0.001  0.42
Sc 0.000 0.000 0.000  -0.07
Ni 0.919 0.417 0.247  0.44
Ni 0.417 0.417 0.247  0.44
Ni 0.081 0.583 0.753  0.44
Ni 0.500 0.500 0.500  0.29

---

A relaxed structure of Pr3TlAg. Source: Alexandria via LeMat-Bulk, functional PBE.

## Properties
polymorph energy (0 for the lowest one)	95	meV per atom
energy of formation	-0.14	eV/atom
DFT total energy	-20.24	eV/f.u.
symmetry	C2/c

a = 9.485 Å, b = 9.485 Å, c = 11.145 Å
α = 65.64°, β = 65.64°, γ = 44.16°
Fractional coordinates of all 20 atoms:
Pr 0.260 0.858 0.045
Tl 0.622 0.128 0.519
Pr 0.384 0.379 0.264
Tl 0.872 0.378 0.981
Pr 0.858 0.260 0.545
Tl 0.128 0.622 0.019
Ag 0.140 0.860 0.750
Pr 0.841 0.771 0.789
Tl 0.378 0.872 0.481
Ag 0.860 0.140 0.250
Pr 0.159 0.229 0.211
Ag 0.000 0.500 0.500
Pr 0.229 0.159 0.711
Pr 0.379 0.384 0.764
Ag 0.500 0.000 0.000
Pr 0.621 0.616 0.236
Pr 0.771 0.841 0.289
Pr 0.740 0.142 0.955
Pr 0.142 0.740 0.455
Pr 0.616 0.621 0.736

---

A relaxed structure of Li5SmTl6. Source: Alexandria via LeMat-Bulk, functional PBE.

## Properties
energy of formation	-0.25	eV/atom
DFT total energy	-31.48	eV/f.u.
symmetry	P2/m

a = 4.920 Å, b = 7.852 Å, c = 7.422 Å
α = 90.00°, β = 90.00°, γ = 71.68°
Fractional coordinates of all 12 atoms:
Li 0.329 0.342 0.000
Tl 0.500 0.000 0.721
Tl 0.827 0.345 0.260
Tl 0.827 0.345 0.740
Li 0.671 0.658 0.000
Tl 0.173 0.655 0.260
Li 0.000 0.000 0.500
Tl 0.500 0.000 0.279
Li 0.671 0.659 0.500
Li 0.329 0.341 0.500
Sm 0.000 0.000 0.000
Tl 0.173 0.655 0.740

---

A relaxed structure of NpZnIr. Source: Alexandria via LeMat-Bulk, functional PBE.

## Properties
energy of formation	-0.18	eV/atom
DFT total energy	-23.62	eV/f.u.
symmetry	P-6m2

a = 2.969 Å, b = 4.586 Å, c = 4.586 Å
α = 120.00°, β = 90.00°, γ = 90.00°
Each line ends with the local moment (μB).
Fractional coordinates of all 3 atoms:
Ir 0.167 0.000 0.000  -0.17
Np 0.667 0.333 0.667  3.61
Zn 0.167 0.667 0.333  0.04

---

A relaxed structure of U2Al8Ni. Source: Alexandria via LeMat-Bulk, functional PBE.

## Properties
energy of formation	-0.24	eV/atom
DFT total energy	-60.93	eV/f.u.
symmetry	P4/mmm

a = 4.233 Å, b = 4.233 Å, c = 11.107 Å
α = 90.00°, β = 90.00°, γ = 90.00°
Each line ends with the local moment (μB).
Fractional coordinates of all 11 atoms:
Ni 0.000 0.000 0.000  0.01
U 0.000 0.000 0.309  1.81
Al 0.500 0.000 0.500  0.01
Al 0.500 0.000 0.121  0.00
U 0.000 0.000 0.691  1.81
Al 0.000 0.500 0.879  0.00
Al 0.500 0.500 0.695  0.01
Al 0.500 0.500 0.305  0.01
Al 0.500 0.000 0.879  0.00
Al 0.000 0.500 0.500  0.01
Al 0.000 0.500 0.121  0.00

---

A relaxed structure of TlIn5Hg11. Source: Alexandria via LeMat-Bulk, functional PBE.

## Properties
energy of formation	0.02	eV/atom
DFT total energy	-19.12	eV/f.u.
symmetry	C2/m

a = 6.382 Å, b = 8.777 Å, c = 8.777 Å
α = 102.71°, β = 97.06°, γ = 97.06°
Fractional coordinates of all 17 atoms:
Hg 0.245 0.303 0.764
Hg 0.755 0.236 0.697
In 0.644 0.349 0.032
In 0.356 0.651 0.968
In 0.356 0.968 0.651
Hg 0.500 0.000 0.000
Hg 0.531 0.368 0.368
Tl 0.000 0.000 0.000
Hg 0.874 0.862 0.613
Hg 0.874 0.613 0.862
Hg 0.126 0.387 0.138
Hg 0.469 0.632 0.632
Hg 0.245 0.764 0.303
In 0.644 0.032 0.349
Hg 0.755 0.697 0.236
In 0.000 0.500 0.500
Hg 0.126 0.138 0.387

---

A relaxed structure of BIrS3. Source: Alexandria via LeMat-Bulk, functional PBE.

## Properties
E_form (uncorrected)	-0.29	eV per atom
polymorph energy (0 for the lowest one)	0	meV per atom
DFT total energy	-29.35	eV/f.u.
symmetry	Cmcm

a = 3.758 Å, b = 5.430 Å, c = 8.452 Å
α = 90.00°, β = 90.00°, γ = 69.75°
Fractional coordinates of all 10 atoms:
S 0.641 0.718 0.804
S 0.359 0.282 0.304
B 0.720 0.561 0.000
B 0.280 0.439 0.500
S 0.104 0.791 0.500
Ir 0.000 0.000 0.750
S 0.896 0.209 0.000
S 0.641 0.718 0.196
S 0.359 0.282 0.696
Ir 0.000 0.000 0.250

---

A relaxed structure of In2Sb2Pd7Au. Source: Alexandria via LeMat-Bulk, functional PBE.

## Properties
E_form (uncorrected)	-0.21	eV per atom
DFT total energy	-55.83	eV/f.u.
symmetry	C2/m

a = 3.875 Å, b = 3.875 Å, c = 15.852 Å
α = 81.66°, β = 81.66°, γ = 89.56°
Fractional coordinates of all 12 atoms:
Pd 0.500 0.500 0.000
Pd 0.419 0.919 0.137
Au 0.000 0.000 0.000
Sb 0.232 0.232 0.612
Pd 0.247 0.247 0.442
Pd 0.919 0.419 0.137
Pd 0.081 0.581 0.863
Pd 0.581 0.081 0.863
In 0.345 0.345 0.262
In 0.655 0.655 0.738
Pd 0.753 0.753 0.558
Sb 0.768 0.768 0.388

---

Number 1: total moment 0.89 μB per atom. Number 2: total moment 0.90 μB per atom. Number 3: total moment 0.00 μB per atom. Number 4: total moment 0.70 μB per atom. Number 5: total moment 0.00 μB per atom. Number 6: total moment 0.00 μB per atom. Number 7: total moment 0.29 μB per atom. Number 8: total moment 0.00 μB per atom. Number 9: total moment 0.77 μB per atom. Number 10: total moment 0.29 μB per atom. Number 11: total moment 0.00 μB per atom. Number 12: total moment 0.00 μB per atom. Number 13: total moment 1.23 μB per atom. Number 14: total moment 0.38 μB per atom. Number 15: total moment 0.00 μB per atom. Number 16: total moment 0.00 μB per atom. Number 17: total moment 0.00 μB per atom.